VASP calculation (PBE) on ZrCoBH2 after structural relaxation.

Cell lengths 3.382, 3.382, 3.875 Å; angles 90.00, 90.00, 90.00 degrees
Space group P4/mmm (No. 123)
Asymmetric unit:
Zr 0.000 0.000 0.000 [1 per cell]
Co 0.500 0.500 0.500 [1 per cell]
B 0.500 0.500 0.000 [1 per cell]
H 0.000 0.500 0.500 [2 per cell]

Values from the calculation:
* raw total energy: -30.2 eV per cell
* volume: 44 Å³/cell